# Co2ReCl | the Alexandria database | PBE | optimized geometry
# **Uncorrected formation energy**: 1.31 eV/f.u.
# **DOS(E_F)**: 14.6 states/eV/cell
# **Energy relative to the lowest polymorph listed for this composition**: 67 meV per atom
# **Total moment**: 0.6825 μB per atom
data_Co2ReCl
_chemical_formula_sum 'Co6 Re3 Cl3'
_cell_length_a 2.8121
_cell_length_b 2.8121
_cell_length_c 23.4069
_cell_angle_alpha 90.00
_cell_angle_beta 90.00
_cell_angle_gamma 120.00
_symmetry_space_group_name_H-M 'R -3 m'
_symmetry_Int_Tables_number 166
_symmetry_space_group_name_Hall '-R 3 2"'
loop_
_atom_site_label
_atom_site_fract_x
_atom_site_fract_y
_atom_site_fract_z
Co1 0.0000 0.0000 0.2478
Re1 0.0000 0.0000 0.0000
Cl1 0.0000 0.0000 0.5000

---

# Co2ReCl | the Alexandria database | PBE | optimized geometry
# **Uncorrected formation energy**: 3.30 eV/f.u.
# **DOS(E_F)**: 12.1 states/eV/cell
# **Energy relative to the lowest polymorph listed for this composition**: 563 meV per atom
# **Total moment**: 0.9023 μB per atom
data_Co2ReCl
_chemical_formula_sum 'Co4 Re2 Cl2'
_cell_length_a 4.995
_cell_length_b 7.938
_cell_length_c 2.717
_cell_angle_alpha 90.00
_cell_angle_beta 90.00
_cell_angle_gamma 90.00
_symmetry_space_group_name_H-M 'C m m m'
_symmetry_Int_Tables_number 65
_symmetry_space_group_name_Hall '-C 2 2'
loop_
_atom_site_label
_atom_site_fract_x
_atom_site_fract_y
_atom_site_fract_z
Co1 0.250 0.250 0.000
Re1 0.000 0.000 0.500
Cl1 0.000 0.500 0.500

---

# Co2ReCl | the Alexandria database | PBE | optimized geometry
# **Uncorrected formation energy**: 3.63 eV/f.u.
# **DOS(E_F)**: 7.8 states/eV/cell
# **Energy relative to the lowest polymorph listed for this composition**: 647 meV per atom
# **Total moment**: 0.7351 μB per atom
data_Co2ReCl
_chemical_formula_sum 'Co2 Re1 Cl1'
_cell_length_a 4.513
_cell_length_b 4.513
_cell_length_c 2.692
_cell_angle_alpha 90.00
_cell_angle_beta 90.00
_cell_angle_gamma 90.00
_symmetry_space_group_name_H-M 'P 4/m m m'
_symmetry_Int_Tables_number 123
_symmetry_space_group_name_Hall '-P 4 2'
loop_
_atom_site_label
_atom_site_fract_x
_atom_site_fract_y
_atom_site_fract_z
Co1 0.000 0.500 0.000
Re1 0.000 0.000 0.500
Cl1 0.500 0.500 0.500

---

# Co2ReCl | the Alexandria database | PBE | optimized geometry
# **Uncorrected formation energy**: 1.96 eV/f.u.
# **DOS(E_F)**: 12.0 states/eV/cell
# **Energy relative to the lowest polymorph listed for this composition**: 229 meV per atom
# **Total moment**: 0.8421 μB per atom
data_Co2ReCl
_chemical_formula_sum 'Co4 Re2 Cl2'
_cell_length_a 2.930
_cell_length_b 4.743
_cell_length_c 7.989
_cell_angle_alpha 90.00
_cell_angle_beta 90.00
_cell_angle_gamma 90.00
_symmetry_space_group_name_H-M 'C m m m'
_symmetry_Int_Tables_number 65
_symmetry_space_group_name_Hall '-C 2 2'
loop_
_atom_site_label
_atom_site_fract_x
_atom_site_fract_y
_atom_site_fract_z
Co1 0.000 0.000 0.249
Re1 0.000 0.500 0.500
Cl1 0.000 0.500 0.000

---

# Co2ReCl | the Alexandria database | PBE | optimized geometry
# **Uncorrected formation energy**: 1.65 eV/f.u.
# **DOS(E_F)**: 5.3 states/eV/cell
# **Energy relative to the lowest polymorph listed for this composition**: 150 meV per atom
# **Total moment**: 0.6529 μB per atom
data_Co2ReCl
_chemical_formula_sum 'Co2 Re1 Cl1'
_cell_length_a 2.825
_cell_length_b 3.024
_cell_length_c 6.818
_cell_angle_alpha 90.00
_cell_angle_beta 90.00
_cell_angle_gamma 90.00
_symmetry_space_group_name_H-M 'P m m 2'
_symmetry_Int_Tables_number 25
loop_
_symmetry_equiv_pos_as_xyz
'x,y,z'
'-x,-y,z'
'-x,y,z'
'x,-y,z'
loop_
_atom_site_label
_atom_site_fract_x
_atom_site_fract_y
_atom_site_fract_z
Co1 0.000 0.000 0.000
Co2 0.500 0.500 0.186
Re1 0.000 0.000 0.391
Cl1 0.500 0.000 0.690

---

# Co2ReCl | the Alexandria database | PBE | optimized geometry
# **Uncorrected formation energy**: 4.42 eV/f.u.
# **DOS(E_F)**: 10.9 states/eV/cell
# **Energy relative to the lowest polymorph listed for this composition**: 842 meV per atom
# **Total moment**: 0.2088 μB per atom
data_Co2ReCl
_chemical_formula_sum 'Co4 Re2 Cl2'
_cell_length_a 3.879
_cell_length_b 3.879
_cell_length_c 6.969
_cell_angle_alpha 90.00
_cell_angle_beta 90.00
_cell_angle_gamma 90.00
_symmetry_space_group_name_H-M 'I 4/m m m'
_symmetry_Int_Tables_number 139
_symmetry_space_group_name_Hall '-I 4 2'
loop_
_atom_site_label
_atom_site_fract_x
_atom_site_fract_y
_atom_site_fract_z
Co1 0.000 0.500 0.250
Re1 0.000 0.000 0.000
Cl1 0.000 0.000 0.500